Entry 1:
Entry from the Alexandria database: a relaxed structure of CdAg2As2 (GGA-PBE).

Calculated values
- magnetization (μB/atom) = 0.000
- energy above the lowest structure with this stoichiometry (eV per formula unit) = 0.017
- formation enthalpy at 0 K (kcal/mol of atoms) = 4.28
- calculated total energy (eV/atom) = -3.00
- DOS at the Fermi energy (states/eV/atom) = 0.461

Cell: 4.402 4.402 6.410 Å, 69.92 69.92 90.00°
Fractional positions:
As1 0.390 0.390 0.220
As2 0.610 0.610 0.780
Ag1 0.750 0.250 0.500
Ag2 0.250 0.750 0.500
Cd1 0.000 0.000 0.000


Entry 2:
Entry from the Alexandria database: a relaxed structure of Cd2AgAs2 (GGA-PBE).

Calculated values
- magnetization (μB/atom) = 0.000
- energy above the lowest structure with this stoichiometry (eV per formula unit) = 0.581
- formation enthalpy at 0 K (kcal/mol of atoms) = 6.22
- calculated total energy (eV/atom) = -2.53
- DOS at the Fermi energy (states/eV/atom) = 0.433

Cell: 8.146 8.146 3.277 Å, 90.00 90.00 90.00°
Fractional positions:
Cd1 0.140 0.360 0.000
Cd2 0.640 0.140 0.000
Cd3 0.860 0.640 0.000
Cd4 0.360 0.860 0.000
As1 0.161 0.661 0.500
As2 0.839 0.339 0.500
As3 0.339 0.161 0.500
As4 0.661 0.839 0.500
Ag1 0.000 0.000 0.000
Ag2 0.500 0.500 0.000


Entry 3:
Entry from the Alexandria database: a relaxed structure of CdAg2As (GGA-PBE).

Calculated values
- magnetization (μB/atom) = 0.000
- energy above the lowest structure with this stoichiometry (eV per formula unit) = 0.173
- formation enthalpy at 0 K (kcal/mol of atoms) = 2.07
- calculated total energy (eV/atom) = -2.73
- DOS at the Fermi energy (states/eV/atom) = 0.339

Cell: 5.220 5.220 5.114 Å, 81.36 81.36 34.03°
Fractional positions:
Ag1 0.004 0.004 0.994
Ag2 0.750 0.750 0.749
As1 0.494 0.494 0.514
Cd1 0.252 0.252 0.243


Entry 4:
Entry from the Alexandria database: a relaxed structure of CdAg2As (GGA-PBE).

Calculated values
- magnetization (μB/atom) = 0.000
- energy above the lowest structure with this stoichiometry (eV per formula unit) = 0.138
- formation enthalpy at 0 K (kcal/mol of atoms) = 1.86
- calculated total energy (eV/atom) = -2.74
- DOS at the Fermi energy (states/eV/atom) = 0.604

Cell: 5.271 5.271 5.271 Å, 133.02 133.00 68.64°
Fractional positions:
Ag1 0.500 0.500 0.000
Ag2 0.000 0.000 0.000
As1 0.250 0.750 0.500
Cd1 0.750 0.250 0.500


Question: Among the records above, which one has the lowest energy above the lowest structure with this stoichiometry?
Answer: CdAg2As2


What did the third record say?
Entry from the Alexandria database: a relaxed structure of CdAg2As (GGA-PBE).

Calculated values
- magnetization (μB/atom) = 0.000
- energy above the lowest structure with this stoichiometry (eV per formula unit) = 0.173
- formation enthalpy at 0 K (kcal/mol of atoms) = 2.07
- calculated total energy (eV/atom) = -2.73
- DOS at the Fermi energy (states/eV/atom) = 0.339

Cell: 5.220 5.220 5.114 Å, 81.36 81.36 34.03°
Fractional positions:
Ag1 0.004 0.004 0.994
Ag2 0.750 0.750 0.749
As1 0.494 0.494 0.514
Cd1 0.252 0.252 0.243